Computed, not measured: Tb5ZnSi2 after structural relaxation at the PBE level of DFT.

a b c (Å): 7.5084 7.5084 14.3068
angles (deg): 90.00 90.00 90.00
With the nearest neighbours (Å) after each atom.
Space group I4/mcm (No. 140)
Asymmetric unit:
Tb  0.0000  0.0000  0.0000 (multiplicity 4)  4 Si 2.99
Tb  0.1749  0.3251  0.1419 (multiplicity 16)  3 Si 2.98-3.03, 2 Zn 3.17
Zn  0.0000  0.0000  0.2500 (multiplicity 4)  8 Tb 3.17
Si  0.1198  0.3802  0.5000 (multiplicity 8)  1 Si 2.54

Results
DOS at the Fermi energy = 28.77 states/eV per cell

Computed, not measured: Tb3Zn3Si2 after structural relaxation at the PBE level of DFT.

a b c (Å): 4.0829 10.8859 15.2727
angles (deg): 90.00 90.00 90.00
With the nearest neighbours (Å) after each atom.
Space group Cmcm (No. 63)
Asymmetric unit:
Tb  0.0000  0.0768  0.2500 (multiplicity 4)  5 Zn 2.97-3.18, 4 Si 3.01
Tb  0.0000  0.3595  0.0917 (multiplicity 8)  4 Si 3.02-3.27, 7 Zn 3.12-3.23
Zn  0.0000  0.0764  0.0557 (multiplicity 8)  1 Zn 2.38, 2 Si 2.41
Zn  0.0000  0.1990  0.7500 (multiplicity 4)  2 Si 2.56
Si  0.0000  0.3422  0.6169 (multiplicity 8)  3 Zn 2.41-2.56

Results
DOS at the Fermi energy = 16.91 states/eV per cell

| no. | formation energy from raw total energies (eV per formula unit) |
| --- | --- |
| 1 | -4.03 |
| 2 | -4.33 |